Re2TcSe | PBE | optimized geometry

## Properties
N(E_F)	3.1	states/eV/cell
raw formation energy	0.34	eV/atom
total moment	0.0	μB/cell
density	15.248	g cm⁻³
SG	Immm

Unit cell a=5.270 b=5.270 c=5.270 alpha=147.32 beta=130.15 gamma=60.89
Element x y z (fractional)
Re  0.228  0.228  0.000
Re  0.772  0.772  0.000
Tc  0.500  0.000  0.500
Se  0.000  0.500  0.500